(1)
A plane-wave DFT calculation with PBE was carried out for a relaxed KIrO3 crystal.

Properties
Space group ... No. 14

Cell: 5.3705 7.3106 7.2355 Å, 98.99 90.00 90.00°
Each line ends with the local moment (μB).
Sites, in units of the cell vectors:
O: 0.8423 0.3172 0.4190  0.47
O: 0.5655 0.0635 0.1697  0.08
O: 0.3423 0.6828 0.0810  0.47
O: 0.4185 0.1634 0.5446  0.20
O: 0.1577 0.6828 0.5810  0.47
O: 0.5815 0.8366 0.4554  0.20
O: 0.0655 0.9365 0.3303  0.08
O: 0.6577 0.3172 0.9190  0.47
O: 0.0815 0.1634 0.0446  0.20
O: 0.9185 0.8366 0.9554  0.20
O: 0.4345 0.9365 0.8303  0.08
O: 0.9345 0.0635 0.6697  0.08
K: 0.1825 0.3913 0.8026  0.01
K: 0.6825 0.6087 0.6974  0.01
K: 0.3175 0.3913 0.3026  0.01
K: 0.8175 0.6087 0.1974  0.01
Ir: 0.2428 0.9261 0.0745  1.01
Ir: 0.7572 0.0739 0.9255  1.01
Ir: 0.7428 0.0739 0.4255  1.01
Ir: 0.2572 0.9261 0.5745  1.01


(2)
A plane-wave DFT calculation with PBE was carried out for a relaxed K8Ir3O8 crystal.

Properties
Space group ... No. 12

Cell: 5.5200 7.9839 10.4149 Å, 106.59 105.37 90.00°
Each line ends with the local moment (μB).
Sites, in units of the cell vectors:
Ir: 0.8133 0.7976 0.6266  0.17
Ir: 0.1867 0.2024 0.3734  0.17
Ir: 0.5000 0.5000 0.0000  0.88
K: 0.0215 0.2502 0.0430  0.00
K: 0.6628 0.4518 0.3256  0.00
K: 0.9785 0.7498 0.9570  0.00
K: 0.8009 0.2184 0.6017  0.00
K: 0.3928 0.0513 0.7856  0.00
K: 0.3372 0.5482 0.6744  0.00
K: 0.6072 0.9487 0.2144  0.00
K: 0.1991 0.7816 0.3983  0.00
O: 0.8917 0.9961 0.7833  0.01
O: 0.7244 0.8228 0.4489  0.05
O: 0.4791 0.7101 0.9582  0.21
O: 0.5209 0.2899 0.0418  0.21
O: 0.8270 0.5782 0.6541  0.04
O: 0.1730 0.4218 0.3459  0.04
O: 0.2756 0.1772 0.5511  0.05
O: 0.1083 0.0039 0.2167  0.01


(3)
A plane-wave DFT calculation with PBE was carried out for a relaxed K5IrO6 crystal.

Properties
Space group ... No. 12

Cell: 6.2891 6.4451 6.4063 Å, 59.80 79.70 69.18°
Each line ends with the local moment (μB).
Sites, in units of the cell vectors:
K: 0.5000 0.1635 0.6730  0.01
K: 0.5000 0.8365 0.3270  0.01
K: 0.0000 0.6673 0.6654  0.01
K: 0.5000 0.5000 0.0000  0.01
K: 0.0000 0.3327 0.3346  0.01
O: 0.1870 0.1843 0.0000  0.13
O: 0.1956 0.9359 0.7505  0.11
O: 0.8044 0.3136 0.7505  0.11
O: 0.8130 0.8157 0.0000  0.13
O: 0.1956 0.6864 0.2495  0.11
O: 0.8044 0.0641 0.2495  0.11
Ir: 0.0000 0.0000 0.0000  0.99


It is found that the E_form (uncorrected) values, taken in the order of the records, are -0.9954; -1.0838; -1.2079 eV per atom.
It is found that the N(E_F) values, taken in the order of the records, are 4.59; 20.09; 8.36 states/eV/cell.